(1)
The following is a PBE-GGA calculation of NaHfIn after structural relaxation, from the Alexandria database.

**V**: 72.7 Å³/f.u.
**Total DFT energy (no corrections)**: -55.21 eV for the cell shown
**Magnetization**: 0.00 Bohr magnetons per cell
**Calculated formation energy**: 0.0691 eV/atom
**Energy relative to the lowest polymorph listed for this composition**: 161 meV/atom

a = 3.2661 Å, b = 16.7866 Å, c = 5.3044 Å
α = 90.00°, β = 90.00°, γ = 90.00°
With the nearest neighbours (Å) after each atom.
Element x y z (fractional)
Na: 0.0000 0.0000 0.0000  6 Na 3.10-3.27, 4 In 3.32
Na: 0.0000 0.5000 0.4966  6 Na 3.10-3.27, 2 In 3.43, 4 Hf 3.47
Na: 0.5000 0.0000 0.4966  6 Na 3.10-3.27, 2 In 3.43, 4 Hf 3.47
Na: 0.5000 0.5000 0.0000  6 Na 3.10-3.27, 4 In 3.32
Hf: 0.0000 0.1779 0.3678  4 Hf 2.92-3.27, 4 In 3.12
Hf: 0.0000 0.8221 0.3678  4 Hf 2.92-3.27, 4 In 3.12
Hf: 0.5000 0.3221 0.3678  4 Hf 2.92-3.27, 4 In 3.12
Hf: 0.5000 0.6779 0.3678  4 Hf 2.92-3.27, 4 In 3.12
In: 0.0000 0.3328 0.8674  4 Hf 3.12, 4 In 3.22-3.27, 3 Na 3.32-3.43
In: 0.0000 0.6672 0.8674  4 Hf 3.12, 4 In 3.22-3.27, 3 Na 3.32-3.43
In: 0.5000 0.1672 0.8674  4 Hf 3.12, 4 In 3.22-3.27, 3 Na 3.32-3.43
In: 0.5000 0.8328 0.8674  4 Hf 3.12, 4 In 3.22-3.27, 3 Na 3.32-3.43

---

(2)
The following is a PBE-GGA calculation of Nd8Pt3SeBr4 after structural relaxation, from the Alexandria database.

**V**: 473.9 Å³/f.u.
**Total DFT energy (no corrections)**: -86.92 eV for the cell shown
**Magnetization**: 0.00 Bohr magnetons per cell

a = 8.9827 Å, b = 8.9827 Å, c = 8.9827 Å
α = 56.74°, β = 56.74°, γ = 56.74°
With the nearest neighbours (Å) after each atom.
Element x y z (fractional)
Nd: 0.2247 0.7422 0.7422  2 Pt 2.89, 1 Se 3.00, 1 Br 3.23
Nd: 0.2316 0.2316 0.2316  3 Pt 2.87
Nd: 0.2578 0.2578 0.7753  2 Pt 2.89, 1 Se 3.00, 1 Br 3.23
Nd: 0.2578 0.7753 0.2578  2 Pt 2.89, 1 Se 3.00, 1 Br 3.23
Nd: 0.7422 0.2247 0.7422  2 Pt 2.89, 1 Se 3.00, 1 Br 3.23
Nd: 0.7422 0.7422 0.2247  2 Pt 2.89, 1 Se 3.00, 1 Br 3.23
Nd: 0.7684 0.7684 0.7684  3 Pt 2.87
Nd: 0.7753 0.2578 0.2578  2 Pt 2.89, 1 Se 3.00, 1 Br 3.23
Pt: 0.0000 0.0000 0.5000  6 Nd 2.87-2.89
Pt: 0.0000 0.5000 0.0000  6 Nd 2.87-2.89
Pt: 0.5000 0.0000 0.0000  6 Nd 2.87-2.89
Se: 0.5000 0.5000 0.5000  6 Nd 3.00
Br: 0.0000 0.0000 0.0000  6 Nd 3.23
Br: 0.0000 0.5000 0.5000  6 Nd 3.33-3.37
Br: 0.5000 0.0000 0.5000  6 Nd 3.33-3.37
Br: 0.5000 0.5000 0.0000  6 Nd 3.33-3.37